A geometry-optimized NbPS2Br structure. Source: Alexandria, functional PBE.

Lattice parameters (Å, degrees): 4.694 4.694 4.820 90.00 90.00 90.00
Sites, in units of the cell vectors:
Nb1 0.000 0.000 0.000
P1 0.500 0.500 0.000
S1 0.000 0.500 0.500
S2 0.500 0.000 0.500
Br1 0.500 0.500 0.500

Output
E_form (uncorrected): 1.355 eV per atom
Energy above the lowest structure with this stoichiometry: 1302 meV/atom
N(E_F): 4.67 states/eV/f.u.


A geometry-optimized ScTaFe2 structure. Source: Alexandria, functional PBE.

Lattice parameters (Å, degrees): 3.058 3.058 6.747 90.00 90.00 90.00
Sites, in units of the cell vectors:
Sc1 0.000 0.000 0.000
Ta1 0.500 0.500 0.321
Fe1 0.000 0.000 0.545
Fe2 0.500 0.500 0.732

Output
Formation energy: 0.058 eV per atom
Energy above the lowest structure with this stoichiometry: 277 meV/atom
N(E_F): 3.89 states/eV/f.u.


A geometry-optimized Zr2SnC structure. Source: Alexandria, functional PBE.

Lattice parameters (Å, degrees): 5.902 5.902 5.902 109.43 109.43 109.54
Sites, in units of the cell vectors:
Zr1 0.040 0.625 0.915
Zr2 0.375 0.290 0.415
Zr3 0.710 0.125 0.085
Zr4 0.875 0.960 0.585
Sn1 0.250 0.750 0.500
Sn2 0.500 0.500 0.000
C1 0.000 0.000 0.000
C2 0.750 0.250 0.500

Output
Formation energy: -0.196 eV per atom
Energy above the lowest structure with this stoichiometry: 592 meV/atom
N(E_F): 1.54 states/eV/f.u.


A geometry-optimized Li3TbSm2Se6 structure. Source: Alexandria, functional PBE.

Lattice parameters (Å, degrees): 7.160 7.160 6.937 99.90 99.90 120.00
Sites, in units of the cell vectors:
Li1 0.000 0.000 0.000
Li2 0.334 0.666 0.000
Li3 0.666 0.334 0.000
Tb1 0.500 0.500 0.500
Sm1 0.167 0.833 0.500
Sm2 0.833 0.167 0.500
Se1 0.085 0.414 0.243
Se2 0.256 0.256 0.756
Se3 0.414 0.085 0.243
Se4 0.586 0.915 0.757
Se5 0.744 0.744 0.244
Se6 0.915 0.586 0.757

Output
E_form (uncorrected): -1.683 eV per atom
N(E_F): 0.00 states/eV/f.u.


A geometry-optimized TiCoPd3 structure. Source: Alexandria, functional PBE.

Lattice parameters (Å, degrees): 4.528 4.528 4.528 90.00 90.00 90.00
Sites, in units of the cell vectors:
Ti1 0.000 0.000 0.000
Co1 0.500 0.500 0.500
Pd1 0.000 0.500 0.500
Pd2 0.500 0.000 0.500
Pd3 0.500 0.500 0.000

Output
Formation energy: 0.716 eV per atom
Energy above the lowest structure with this stoichiometry: 0 meV/atom
N(E_F): 12.52 states/eV/f.u.


A geometry-optimized RbGdF3 structure. Source: Alexandria, functional PBE.

Lattice parameters (Å, degrees): 4.735 4.735 4.735 90.00 90.00 90.00
Sites, in units of the cell vectors:
Rb1 0.000 0.000 0.000
Gd1 0.500 0.500 0.500
F1 0.000 0.500 0.500
F2 0.500 0.000 0.500
F3 0.500 0.500 0.000

Output
E_form (uncorrected): -3.106 eV per atom
N(E_F): 4.26 states/eV/f.u.


A geometry-optimized Tm2Sc3Se6 structure. Source: Alexandria, functional PBE.

Lattice parameters (Å, degrees): 19.627 19.627 19.627 11.63 11.63 11.63
Sites, in units of the cell vectors:
Tm1 0.055 0.055 0.055
Tm2 0.945 0.945 0.945
Sc1 0.218 0.218 0.218
Sc2 0.500 0.500 0.500
Sc3 0.782 0.782 0.782
Se1 0.141 0.141 0.141
Se2 0.302 0.302 0.302
Se3 0.421 0.421 0.421
Se4 0.579 0.579 0.579
Se5 0.698 0.698 0.698
Se6 0.859 0.859 0.859

Output
E_form (uncorrected): -1.674 eV per atom
Energy above the lowest structure with this stoichiometry: 76 meV/atom
N(E_F): 5.09 states/eV/f.u.


A geometry-optimized NiI structure. Source: Alexandria, functional PBE.

Lattice parameters (Å, degrees): 4.016 12.047 5.992 90.00 90.00 90.00
Sites, in units of the cell vectors:
Ni1 0.250 0.069 0.028
Ni2 0.250 0.431 0.028
Ni3 0.250 0.750 0.465
Ni4 0.750 0.250 0.535
Ni5 0.750 0.569 0.972
Ni6 0.750 0.931 0.972
I1 0.250 0.250 0.782
I2 0.250 0.584 0.723
I3 0.250 0.916 0.723
I4 0.750 0.084 0.277
I5 0.750 0.416 0.277
I6 0.750 0.750 0.218

Output
E_form (uncorrected): 0.136 eV per atom
N(E_F): 2.71 states/eV/f.u.


no.,total moment (μB/atom)
1,0.36
2,1.07
3,0.00
4,0.00
5,0.56
6,1.33
7,0.00
8,0.00